[1]
Below is a relaxed structure of Mg3CuPd2, with properties calculated at the PBE-GGA level.

Properties
As for the space-group type: P4/mmm. Its total DFT energy (no corrections) is -3.731 eV per atom.

Cell lengths 3.167, 3.167, 9.610 Å; angles 90.00, 90.00, 90.00 degrees
Element x y z (fractional)
Mg 0.000 0.000 0.000
Mg 0.000 0.000 0.665
Mg 0.000 0.000 0.335
Cu 0.500 0.500 0.500
Pd 0.500 0.500 0.830
Pd 0.500 0.500 0.170

---

[2]
Below is a relaxed structure of Cr3Ag5, with properties calculated at the PBE-GGA level.

Properties
As for the space-group type: Cm. Its energy relative to the lowest polymorph listed for this composition is 0.0 meV per atom.

Cell lengths 7.844, 7.844, 7.817 Å; angles 96.44, 96.44, 140.83 degrees
Each line ends with the local moment (μB).
Element x y z (fractional)
Cr 0.175 0.326 0.501  3.76
Cr 0.250 0.250 0.000  3.56
Cr 0.326 0.826 0.152  3.77
Cr 0.675 0.175 0.850  3.77
Cr 0.750 0.750 0.000  3.56
Cr 0.826 0.675 0.501  3.76
Ag 0.070 0.769 0.839  0.07
Ag 0.232 0.070 0.302  0.07
Ag 0.251 0.751 0.501  0.04
Ag 0.269 0.570 0.839  0.07
Ag 0.431 0.269 0.699  0.07
Ag 0.570 0.732 0.302  0.07
Ag 0.732 0.431 0.162  0.07
Ag 0.750 0.250 0.500  0.04
Ag 0.769 0.931 0.699  0.07
Ag 0.931 0.232 0.162  0.07

---

[3]
Below is a relaxed structure of KIn2TcRh, with properties calculated at the PBE-GGA level.

Properties
As for the space-group type: P4/mmm. Its total DFT energy (no corrections) is -3.877 eV per atom.

Cell lengths 5.131, 5.627, 5.131 Å; angles 90.00, 90.00, 90.00 degrees
Each line ends with the local moment (μB).
Element x y z (fractional)
K 0.000 0.500 0.000  0.00
Rh 0.000 0.000 0.000  0.10
Tc 0.500 0.500 0.500  3.48
In 0.000 0.000 0.500  -0.05
In 0.500 0.000 0.000  0.00

---

[4]
Below is a relaxed structure of Rb4NdY3Se8, with properties calculated at the PBE-GGA level.

Properties
For the uncorrected formation energy, the calculation gives -1.743 eV/atom. As for the space-group type: R-3m.

Cell lengths 8.557, 9.407, 8.558 Å; angles 117.08, 120.00, 90.00 degrees
Element x y z (fractional)
Rb 0.500 0.000 0.000
Rb 0.500 0.000 0.500
Rb 0.000 0.000 0.000
Rb 0.000 0.000 0.500
Nd 0.000 0.500 0.000
Y 0.500 0.500 0.000
Y 0.500 0.500 0.500
Y 0.000 0.500 0.500
Se 0.236 0.698 0.962
Se 0.236 0.698 0.472
Se 0.268 0.305 0.536
Se 0.726 0.698 0.962
Se 0.274 0.302 0.038
Se 0.732 0.695 0.464
Se 0.764 0.302 0.528
Se 0.764 0.302 0.038

---

DOS at the Fermi energy in states/eV per cell, matching the order above: 2.78; 10.73; 3.88; 0.00